No. 1
Ca3InRe: optimized geometry, PBE.

Summary:
As for the space-group type: Pm-3m. The value obtained for the energy of formation is 1186 meV per atom. Its total energy is -3.052 eV per atom. Its distance to the lowest polymorph of the same formula is 567.1 meV/atom.

a b c (Å): 5.8306 5.8306 5.8306
angles (deg): 90.00 90.00 90.00
Last column: nearest neighbours and their distance in Å.
Positions (direct):
Ca 0.0000 0.0000 0.5000  2 In 2.92
Ca 0.0000 0.5000 0.0000  2 In 2.92
Ca 0.5000 0.0000 0.0000  2 In 2.92
In 0.0000 0.0000 0.0000  6 Ca 2.92
Re 0.5000 0.5000 0.5000  12 Ca 4.12

***

No. 2
LiErAgGe: optimized geometry, PBE.

Summary:
As for the space-group type: F-43m. The value obtained for the energy of formation is -444 meV per atom. Its total energy is -3.930 eV per atom.

a b c (Å): 4.8047 4.8047 4.8047
angles (deg): 60.00 60.00 60.00
Last column: nearest neighbours and their distance in Å.
Positions (direct):
Li 0.0000 0.0000 0.0000  4 Ag 2.94, 4 Ge 2.94
Er 0.5000 0.5000 0.5000  4 Ag 2.94, 4 Ge 2.94
Ag 0.7500 0.7500 0.7500  4 Li 2.94, 4 Er 2.94
Ge 0.2500 0.2500 0.2500  4 Li 2.94, 4 Er 2.94

***

No. 3
SrHAu2: optimized geometry, PBE.

Summary:
As for the space-group type: I4_1/amd. Its total energy is -3.094 eV per atom. Its distance to the lowest polymorph of the same formula is 0.0 meV/atom.

a b c (Å): 7.1227 7.1227 7.1227
angles (deg): 135.65 135.65 64.52
Last column: nearest neighbours and their distance in Å.
Positions (direct):
Sr 0.3750 0.6250 0.7500  8 Au 3.36
Sr 0.6250 0.3750 0.2500  8 Au 3.36
H 0.1250 0.8750 0.2500  4 Au 2.02
H 0.8750 0.1250 0.7500  4 Au 2.02
Au 0.0000 0.0000 0.0000  2 H 2.02
Au 0.0000 0.0000 0.5000  2 H 2.02
Au 0.0000 0.5000 0.0000  2 H 2.02
Au 0.5000 0.0000 0.5000  2 H 2.02

***

No. 4
Rb2AlIBr: optimized geometry, PBE.

Summary:
As for the space-group type: P4/mmm. Its total energy is -2.004 eV per atom.

a b c (Å): 6.7157 6.7157 7.8337
angles (deg): 90.00 90.00 90.00
Last column: nearest neighbours and their distance in Å.
Positions (direct):
Rb 0.0000 0.5000 0.0000  2 I 3.36
Rb 0.5000 0.0000 0.0000  2 I 3.36
Al 0.0000 0.0000 0.5000  4 Br 4.75, 8 Rb 5.16
I 0.5000 0.5000 0.0000  4 Rb 3.36
Br 0.5000 0.5000 0.5000  2 I 3.92

***

No. 5
CePr3Zn4: optimized geometry, PBE.

Summary:
As for the space-group type: P4/mmm. The value obtained for the energy of formation is -265 meV per atom. Its total energy is -3.436 eV per atom.

a b c (Å): 3.6864 3.6864 14.8090
angles (deg): 90.00 90.00 90.00
Last column: nearest neighbours and their distance in Å.
Positions (direct):
Ce 0.0000 0.0000 0.0000  8 Zn 3.15
Pr 0.0000 0.0000 0.2469  8 Zn 3.22
Pr 0.0000 0.0000 0.5000  8 Zn 3.20
Pr 0.0000 0.0000 0.7531  8 Zn 3.22
Zn 0.5000 0.5000 0.1192  4 Ce 3.15, 4 Pr 3.22
Zn 0.5000 0.5000 0.3745  8 Pr 3.20-3.22
Zn 0.5000 0.5000 0.6255  8 Pr 3.20-3.22
Zn 0.5000 0.5000 0.8808  4 Ce 3.15, 4 Pr 3.22

***

No. 6
MgCu2Tc: optimized geometry, PBE.

Summary:
As for the space-group type: P4/mmm. The value obtained for the energy of formation is 178 meV per atom. Its total energy is -4.861 eV per atom.

a b c (Å): 4.5014 4.5014 2.7578
angles (deg): 90.00 90.00 90.00
Last column: nearest neighbours and their distance in Å.
Positions (direct):
Mg 0.0000 0.0000 0.0000  8 Cu 2.64, 2 Mg 2.76
Cu 0.0000 0.5000 0.5000  4 Tc 2.64, 4 Mg 2.64, 2 Cu 2.76
Cu 0.5000 0.0000 0.5000  4 Tc 2.64, 4 Mg 2.64, 2 Cu 2.76
Tc 0.5000 0.5000 0.0000  8 Cu 2.64, 2 Tc 2.76

***

No. 7
TeP: optimized geometry, PBE.

Summary:
As for the space-group type: I4_1/amd. Its total energy is -3.739 eV per atom.

a b c (Å): 8.5002 8.5002 8.5002
angles (deg): 154.30 154.30 36.67
Last column: nearest neighbours and their distance in Å.
Positions (direct):
Te 0.3750 0.6250 0.7500  4 P 2.67
Te 0.6250 0.3750 0.2500  4 P 2.67
P 0.1250 0.8750 0.2500  4 Te 2.67
P 0.8750 0.1250 0.7500  4 Te 2.67

***

No. 8
InSi2Sb: optimized geometry, PBE.

Summary:
As for the space-group type: P4mm. Its total energy is -4.078 eV per atom. Its distance to the lowest polymorph of the same formula is 109.8 meV/atom.

a b c (Å): 3.4182 3.4182 7.5220
angles (deg): 90.00 90.00 90.00
Last column: nearest neighbours and their distance in Å.
Positions (direct):
In 0.0000 0.0000 0.0000  5 Si 3.02-3.28
Si 0.0000 0.0000 0.5987  4 Si 2.55
Si 0.5000 0.5000 0.7050  4 Si 2.55, 1 Sb 2.80
Sb 0.5000 0.5000 0.3328  1 Si 2.80

***

No. 9
Al2CdIr: optimized geometry, PBE.

Summary:
As for the space-group type: I-42d. The value obtained for the energy of formation is 91 meV per atom. Its total energy is -4.224 eV per atom.

a b c (Å): 9.2331 9.2331 9.2331
angles (deg): 154.33 154.33 36.62
Last column: nearest neighbours and their distance in Å.
Positions (direct):
Al 0.0880 0.6250 0.9630  2 Ir 2.57, 2 Cd 2.69, 2 Al 2.69
Al 0.3750 0.3380 0.4630  2 Ir 2.57, 2 Cd 2.69, 2 Al 2.69
Al 0.6620 0.1250 0.0370  2 Ir 2.57, 2 Cd 2.69, 2 Al 2.69
Al 0.8750 0.9120 0.5370  2 Ir 2.57, 2 Cd 2.69, 2 Al 2.69
Cd 0.2500 0.7500 0.5000  4 Al 2.69, 4 Ir 2.90
Cd 0.5000 0.5000 0.0000  4 Al 2.69, 4 Ir 2.90
Ir 0.0000 0.0000 0.0000  4 Al 2.57
Ir 0.7500 0.2500 0.5000  4 Al 2.57

***

> Which formula does entry 6 have?

MgCu2Tc